The following is a DFT calculation (PBE) of a geometry-optimized MnNiPS2 structure.

Cell: 4.479 4.479 4.392 Å, 90.00 90.00 90.00°
Space group P4/mmm (No. 123)
Asymmetric unit:
Mn 0.000 0.000 0.000 x1
Ni 0.500 0.500 0.500 x1
P 0.000 0.000 0.500 x1
S 0.000 0.500 0.000 x2

E_form (uncorrected), eV/atom: 0.645
ρ, Mg/m³: 3.934
Crystal system: tetragonal
Energy relative to the lowest polymorph listed for this composition, eV per atom: 0.180
DFT total energy, eV per atom: -5.078

***

The following is a DFT calculation (PBE) of a geometry-optimized Ac4Sb2Br3 structure.

Cell: 4.7217 4.7217 18.3305 Å, 90.00 90.00 120.00°
Space group P-3m1 (No. 164)
Asymmetric unit:
Ac 0.0000 0.0000 0.1989 x2
Ac 0.3333 0.6667 0.3991 x2
Sb 0.3333 0.6667 0.7012 x2
Br 0.0000 0.0000 0.5000 x1
Br 0.3333 0.6667 0.1022 x2

E_form (uncorrected), eV/atom: -1.424
ρ, Mg/m³: 6.528
Crystal system: trigonal
DFT total energy, eV per atom: -4.724

***

The following is a DFT calculation (PBE) of a geometry-optimized Pr2TcH8 structure.

Cell: 14.272 3.608 4.467 Å, 90.00 108.22 90.00°
Space group C2/m (No. 12)
Asymmetric unit:
Pr 0.144 0.000 0.144 x4
Tc 0.000 0.500 0.500 x2
H 0.000 0.000 0.306 x4
H 0.107 0.500 0.826 x4
H 0.108 0.500 0.394 x4
H 0.239 0.000 0.740 x4

ρ, Mg/m³: 5.895
Crystal system: monoclinic
DFT total energy, eV per atom: -4.596

***

The following is a DFT calculation (PBE) of a geometry-optimized KTc2MoS structure.

Cell: 4.437 4.437 5.279 Å, 90.00 90.00 90.00°
Space group P4/mmm (No. 123)
Asymmetric unit:
K 0.000 0.000 0.000 x1
Tc 0.000 0.500 0.500 x2
Mo 0.500 0.500 0.000 x1
S 0.000 0.000 0.500 x1

E_form (uncorrected), eV/atom: 1.269
ρ, Mg/m³: 5.803
Crystal system: tetragonal
DFT total energy, eV per atom: -6.088

***

The following is a DFT calculation (PBE) of a geometry-optimized LiLaPm2 structure.

Cell: 5.854 5.854 3.703 Å, 90.00 90.00 90.00°
Space group P4/mmm (No. 123)
Asymmetric unit:
Li 0.000 0.000 0.000 x1
La 0.500 0.500 0.000 x1
Pm 0.000 0.500 0.500 x2

ρ, Mg/m³: 5.704
Calculated formation energy, eV per atom: 0.15
Crystal system: tetragonal
Energy relative to the lowest polymorph listed for this composition, eV per atom: 0.076
DFT total energy, eV per atom: -3.940

***

The following is a DFT calculation (PBE) of a geometry-optimized Ba2AcLaO4 structure.

Cell: 6.615 3.824 6.738 Å, 90.00 109.04 90.00°
Space group P2/m (No. 10)
Asymmetric unit:
Ba 0.000 0.000 0.000 x1
Ba 0.500 0.500 0.000 x1
Ac 0.000 0.500 0.500 x1
La 0.500 0.000 0.500 x1
O 0.243 0.000 0.704 x2
O 0.275 0.500 0.301 x2

E_form (uncorrected), eV/atom: -2.645
ρ, Mg/m³: 7.262
Crystal system: monoclinic
DFT total energy, eV per atom: -6.734

***

The following is a DFT calculation (PBE) of a geometry-optimized Ca6HgPd3 structure.

Cell: 10.895 4.343 12.899 Å, 90.00 110.22 90.00°
Space group P2_1/m (No. 11)
Asymmetric unit:
Ca 0.020 0.250 0.388 x2
Ca 0.075 0.250 0.911 x2
Ca 0.236 0.750 0.321 x2
Ca 0.340 0.750 0.093 x2
Ca 0.340 0.750 0.804 x2
Ca 0.382 0.250 0.566 x2
Hg 0.422 0.250 0.291 x2
Pd 0.131 0.250 0.161 x2
Pd 0.194 0.750 0.531 x2
Pd 0.407 0.250 0.969 x2

ρ, Mg/m³: 4.409
Calculated formation energy, eV per atom: -0.52
Crystal system: monoclinic
DFT total energy, eV per atom: -3.306

***

The following is a DFT calculation (PBE) of a geometry-optimized CePa2Rh structure.

Cell: 3.562 3.562 7.430 Å, 90.00 90.00 90.00°
Space group P4/mmm (No. 123)
Asymmetric unit:
Ce 0.000 0.000 0.000 x1
Pa 0.500 0.500 0.295 x2
Rh 0.000 0.000 0.500 x1

ρ, Mg/m³: 12.418
Calculated formation energy, eV per atom: -0.24
Crystal system: tetragonal
Energy relative to the lowest polymorph listed for this composition, eV per atom: 0.000
DFT total energy, eV per atom: -8.310

***

The following is a DFT calculation (PBE) of a geometry-optimized Zr2ScTaAu structure.

Cell: 5.171 5.171 5.020 Å, 90.00 90.00 90.00°
Space group P4/mmm (No. 123)
Asymmetric unit:
Zr 0.000 0.500 0.000 x2
Sc 0.000 0.000 0.500 x1
Ta 0.500 0.500 0.500 x1
Au 0.500 0.500 0.000 x1

ρ, Mg/m³: 7.488
Calculated formation energy, eV per atom: 0.85
Crystal system: tetragonal
DFT total energy, eV per atom: -6.859

***

The following is a DFT calculation (PBE) of a geometry-optimized Ac5Al2Te12 structure.

Cell: 18.579 7.896 10.480 Å, 90.00 106.79 90.00°
Space group C2/m (No. 12)
Asymmetric unit:
Ac 0.000 0.000 0.000 x2
Ac 0.188 0.500 0.338 x4
Ac 0.198 0.500 0.850 x4
Al 0.000 0.258 0.500 x4
Te 0.002 0.000 0.682 x4
Te 0.003 0.500 0.696 x4
Te 0.149 0.250 0.069 x8
Te 0.160 0.247 0.578 x8

E_form (uncorrected), eV/atom: -1.038
ρ, Mg/m³: 6.138
Crystal system: monoclinic
DFT total energy, eV per atom: -4.498

***

The following is a DFT calculation (PBE) of a geometry-optimized GdHfPb2 structure.

Cell: 3.948 3.948 6.725 Å, 90.00 90.00 90.00°
Space group P4/mmm (No. 123)
Asymmetric unit:
Gd 0.000 0.000 0.000 x1
Hf 0.000 0.000 0.500 x1
Pb 0.500 0.500 0.270 x2

ρ, Mg/m³: 11.880
Calculated formation energy, eV per atom: -0.13
Crystal system: tetragonal
Energy relative to the lowest polymorph listed for this composition, eV per atom: 0.000
DFT total energy, eV per atom: -7.992

***

The following is a DFT calculation (PBE) of a geometry-optimized BeNiOs2 structure.

Cell: 5.852 5.852 5.852 Å, 90.00 90.00 90.00°
Space group F-43m (No. 216)
Asymmetric unit:
Be 0.000 0.000 0.000 x4
Ni 0.250 0.250 0.750 x4
Os 0.000 0.000 0.500 x4
Os 0.250 0.250 0.250 x4

ρ, Mg/m³: 14.856
Calculated formation energy, eV per atom: 0.20
Crystal system: cubic
DFT total energy, eV per atom: -7.795

***

The following is a DFT calculation (PBE) of a geometry-optimized Sb2AsF structure.

Cell: 7.359 7.359 6.535 Å, 90.00 90.00 90.00°
Space group I-42d (No. 122)
Asymmetric unit:
Sb 0.244 0.250 0.125 x8
As 0.000 0.000 0.500 x4
F 0.000 0.000 0.000 x4

E_form (uncorrected), eV/atom: -0.456
ρ, Mg/m³: 6.333
Crystal system: tetragonal
Energy relative to the lowest polymorph listed for this composition, eV per atom: 0.000
DFT total energy, eV per atom: -4.147

***

The following is a DFT calculation (PBE) of a geometry-optimized Hf2SiBi structure.

Cell: 6.240 6.240 12.908 Å, 90.00 90.00 90.00°
Space group I-42d (No. 122)
Asymmetric unit:
Hf 0.202 0.250 0.125 x8
Si 0.000 0.000 0.000 x4
Bi 0.000 0.000 0.500 x4

E_form (uncorrected), eV/atom: 0.485
ρ, Mg/m³: 7.850
Crystal system: tetragonal
Energy relative to the lowest polymorph listed for this composition, eV per atom: 0.461
DFT total energy, eV per atom: -6.818

***

The following is a DFT calculation (PBE) of a geometry-optimized UMnGa2 structure.

Cell: 6.589 6.589 6.589 Å, 90.00 90.00 90.00°
Space group Fm-3m (No. 225)
Asymmetric unit:
U 0.000 0.000 0.000 x4
Mn 0.000 0.000 0.500 x4
Ga 0.250 0.250 0.250 x8

ρ, Mg/m³: 10.040
Calculated formation energy, eV per atom: 0.02
Crystal system: cubic
DFT total energy, eV per atom: -6.606

***

The following is a DFT calculation (PBE) of a geometry-optimized Tl2PbWS4 structure.

Cell: 8.068 8.068 7.508 Å, 90.00 90.00 90.00°
Space group I-4 (No. 82)
Asymmetric unit:
Tl 0.000 0.000 0.000 x2
Tl 0.000 0.500 0.250 x2
Pb 0.000 0.000 0.500 x2
W 0.000 0.500 0.750 x2
S 0.152 0.673 0.585 x8

E_form (uncorrected), eV/atom: -0.338
ρ, Mg/m³: 6.307
Crystal system: tetragonal
DFT total energy, eV per atom: -5.076

***

The following is a DFT calculation (PBE) of a geometry-optimized LaMnS2N structure.

Cell: 5.533 5.533 4.283 Å, 90.00 90.00 90.00°
Space group P4/mmm (No. 123)
Asymmetric unit:
La 0.000 0.000 0.000 x1
Mn 0.500 0.500 0.500 x1
S 0.000 0.500 0.000 x2
N 0.000 0.000 0.500 x1

E_form (uncorrected), eV/atom: 0.384
ρ, Mg/m³: 3.445
Crystal system: tetragonal
Energy relative to the lowest polymorph listed for this composition, eV per atom: 1.350
DFT total energy, eV per atom: -5.751

***

The following is a DFT calculation (PBE) of a geometry-optimized LiTiAs3 structure.

Cell: 4.901 4.901 4.901 Å, 90.00 90.00 90.00°
Space group Pm-3m (No. 221)
Asymmetric unit:
Li 0.000 0.000 0.000 x1
Ti 0.500 0.500 0.500 x1
As 0.000 0.500 0.500 x3

ρ, Mg/m³: 3.944
Calculated formation energy, eV per atom: -0.13
Crystal system: cubic
Energy relative to the lowest polymorph listed for this composition, eV per atom: 0.000
DFT total energy, eV per atom: -4.881

***

The following is a DFT calculation (PBE) of a geometry-optimized Rb2AgOsO4 structure.

Cell: 5.198 13.275 22.613 Å, 90.00 90.00 90.00°
Space group Fddd (No. 70, origin choice 2)
Asymmetric unit:
Rb 0.125 0.125 0.291 x16
Ag 0.125 0.125 0.125 x8
Os 0.125 0.125 0.625 x8
O 0.019 0.027 0.572 x32

E_form (uncorrected), eV/atom: -0.858
ρ, Mg/m³: 4.538
Crystal system: orthorhombic
DFT total energy, eV per atom: -5.339

***

The following is a DFT calculation (PBE) of a geometry-optimized TbHfZnRu structure.

Cell: 6.769 6.769 6.769 Å, 90.00 90.00 90.00°
Space group F-43m (No. 216)
Asymmetric unit:
Tb 0.000 0.000 0.000 x4
Hf 0.000 0.000 0.500 x4
Zn 0.250 0.250 0.750 x4
Ru 0.250 0.250 0.250 x4

ρ, Mg/m³: 10.791
Calculated formation energy, eV per atom: -0.32
Crystal system: cubic
DFT total energy, eV per atom: -6.604